# 1
BaCa2P | the Alexandria database | PBE | relaxed; formation energy = -611 meV per atom; D(E_F) = 8.19 states/eV per cell; final energy = -3.44 eV per atom; mass density = 2.49 g/cm³
1.0
4.288 0.000 0.000
-2.144 3.713 0.000
0.000 0.000 31.251
Ba Ca P
3 6 3
direct
0.000 0.000 0.000
0.333 0.667 0.667
0.667 0.333 0.333
0.000 0.000 0.212
0.000 0.000 0.788
0.333 0.667 0.454
0.333 0.667 0.879
0.667 0.333 0.121
0.667 0.333 0.546
0.000 0.000 0.500
0.333 0.667 0.167
0.667 0.333 0.833

# 2
BaCa2P2 | the Alexandria database | PBE | relaxed; formation energy = -1130 meV per atom; final energy = -4.48 eV per atom; mass density = 2.98 g/cm³
1.0
4.771 0.000 0.000
-2.386 4.132 0.000
0.000 0.000 7.894
Ba Ca P
1 2 2
direct
0.000 0.000 0.000
0.333 0.667 0.637
0.667 0.333 0.363
0.333 0.667 0.259
0.667 0.333 0.741

# 3
BaCa2P | the Alexandria database | PBE | relaxed; formation energy = -93 meV per atom; D(E_F) = 8.81 states/eV per cell; final energy = -2.93 eV per atom; mass density = 2.97 g/cm³
1.0
6.769 0.000 0.000
0.000 12.018 0.000
-3.377 0.000 3.412
Ba Ca P
2 4 2
direct
0.000 0.000 0.000
0.500 0.500 0.000
0.250 0.250 0.000
0.250 0.750 0.000
0.750 0.250 0.000
0.750 0.750 0.000
0.000 0.500 0.000
0.500 0.000 0.000

# 4
BaCa2P | the Alexandria database | PBE | relaxed; formation energy = -568 meV per atom; D(E_F) = 6.40 states/eV per cell; final energy = -3.40 eV per atom; mass density = 2.74 g/cm³
1.0
4.202 0.000 0.000
0.000 5.139 0.000
0.000 0.000 13.939
Ba Ca P
2 4 2
direct
0.000 0.000 0.000
0.000 0.500 0.500
0.000 0.000 0.687
0.000 0.500 0.187
0.500 0.000 0.338
0.500 0.500 0.838
0.500 0.000 0.544
0.500 0.500 0.044

# 5
Ba2CaP2 | the Alexandria database | PBE | relaxed; formation energy = -388 meV per atom; D(E_F) = 1.03 states/eV per cell; final energy = -3.72 eV per atom; mass density = 3.48 g/cm³
1.0
5.809 0.000 0.000
0.000 5.809 0.000
0.000 0.000 10.668
Ba Ca P
4 2 4
direct
0.000 0.000 0.160
0.000 0.000 0.840
0.500 0.500 0.340
0.500 0.500 0.660
0.000 0.000 0.500
0.500 0.500 0.000
0.000 0.500 0.250
0.000 0.500 0.750
0.500 0.000 0.250
0.500 0.000 0.750

# 6
Ba4CaP | the Alexandria database | PBE | relaxed; formation energy = 436 meV per atom; D(E_F) = 7.62 states/eV per cell; final energy = -2.08 eV per atom; mass density = 3.64 g/cm³
1.0
0.000 5.211 5.211
5.211 0.000 5.211
5.211 5.211 0.000
Ba Ca P
4 1 1
direct
0.377 0.377 0.377
0.377 0.377 0.870
0.377 0.870 0.377
0.870 0.377 0.377
0.000 0.000 0.000
0.750 0.750 0.750